1.
# GGA-PBE ZnGaMo4C2, optimized geometry
# - Crystal system: hexagonal
# - Space-group type: P-6m2, No. 187
# - Raw total energy: -8.3285 eV per atom
# - Total moment: 0.0 μB per formula unit
data_ZnGaMo4C2
_symmetry_space_group_name_H-M 'P 1'
_symmetry_Int_Tables_number 1
_cell_length_a 3.055
_cell_length_b 3.055
_cell_length_c 13.300
_cell_angle_alpha 90.00
_cell_angle_beta 90.00
_cell_angle_gamma 120.00
loop_
_symmetry_equiv_pos_as_xyz
'x,y,z'
loop_
_atom_site_label
_atom_site_fract_x
_atom_site_fract_y
_atom_site_fract_z
_atom_site_occupancy
Zn1 0.000 0.000 0.000 1
Ga1 0.667 0.333 0.500 1
Mo1 0.000 0.000 0.340 1
Mo2 0.000 0.000 0.660 1
Mo3 0.667 0.333 0.163 1
Mo4 0.667 0.333 0.837 1
C1 0.333 0.667 0.250 1
C2 0.333 0.667 0.750 1

2.
# GGA-PBE ZrScCoSi, optimized geometry
# - Crystal system: cubic
# - Space-group type: F-43m, No. 216
# - Raw total energy: -6.9588 eV per atom
# - Energy above the most stable polymorph in this dataset: 0.0 meV/atom
# - Total moment: 2.0 μB per formula unit
data_ZrScCoSi
_symmetry_space_group_name_H-M 'P 1'
_symmetry_Int_Tables_number 1
_cell_length_a 4.500
_cell_length_b 4.500
_cell_length_c 4.500
_cell_angle_alpha 60.00
_cell_angle_beta 60.00
_cell_angle_gamma 60.00
loop_
_symmetry_equiv_pos_as_xyz
'x,y,z'
loop_
_atom_site_label
_atom_site_fract_x
_atom_site_fract_y
_atom_site_fract_z
_atom_site_occupancy
Zr1 0.000 0.000 0.000 1
Sc1 0.250 0.250 0.250 1
Co1 0.750 0.750 0.750 1
Si1 0.500 0.500 0.500 1

3.
# GGA-PBE La2AgSb4Pd, optimized geometry
# - Crystal system: tetragonal
# - Space-group type: P-4m2, No. 115
# - Raw total energy: -5.0976 eV per atom
# - Total moment: 0.0 μB per formula unit
data_La2AgSb4Pd
_symmetry_space_group_name_H-M 'P 1'
_symmetry_Int_Tables_number 1
_cell_length_a 4.502
_cell_length_b 4.502
_cell_length_c 10.291
_cell_angle_alpha 90.00
_cell_angle_beta 90.00
_cell_angle_gamma 90.00
loop_
_symmetry_equiv_pos_as_xyz
'x,y,z'
loop_
_atom_site_label
_atom_site_fract_x
_atom_site_fract_y
_atom_site_fract_z
_atom_site_occupancy
La1 0.000 0.500 0.248 1
La2 0.500 0.000 0.752 1
Ag1 0.000 0.000 0.500 1
Sb1 0.000 0.000 0.000 1
Sb2 0.000 0.500 0.662 1
Sb3 0.500 0.000 0.338 1
Sb4 0.500 0.500 0.000 1
Pd1 0.500 0.500 0.500 1

4.
# GGA-PBE YHo2In3Cu2Ni, optimized geometry
# - Crystal system: orthorhombic
# - Space-group type: Amm2, No. 38
# - Raw total energy: -4.5435 eV per atom
# - Total moment: 0.0 μB per formula unit
data_YHo2In3Cu2Ni
_symmetry_space_group_name_H-M 'P 1'
_symmetry_Int_Tables_number 1
_cell_length_a 3.883
_cell_length_b 7.451
_cell_length_c 7.451
_cell_angle_alpha 120.04
_cell_angle_beta 90.00
_cell_angle_gamma 90.00
loop_
_symmetry_equiv_pos_as_xyz
'x,y,z'
loop_
_atom_site_label
_atom_site_fract_x
_atom_site_fract_y
_atom_site_fract_z
_atom_site_occupancy
Y1 0.000 0.000 0.000 1
Ho1 0.000 0.407 0.813 1
Ho2 0.000 0.813 0.407 1
In1 0.500 0.154 0.407 1
In2 0.500 0.407 0.154 1
In3 0.500 0.660 0.660 1
Cu1 0.500 0.074 0.738 1
Cu2 0.500 0.738 0.074 1
Ni1 0.000 0.408 0.408 1